! AgTePdO, relaxed, DFT PBE-GGA; values from VASP
! space-group type: No. 129
! E: -4.01 eV per atom
&SYSTEM
  ibrav = 0, nat = 8, ntyp = 4
/
ATOMIC_SPECIES
Ag 107.87 Ag.upf
O 16.00 O.upf
Te 127.60 Te.upf
Pd 106.42 Pd.upf
CELL_PARAMETERS angstrom
-1.183 -3.819 -0.629
3.653 -0.884 -1.500
2.968 -2.336 8.602
ATOMIC_POSITIONS crystal
Ag 0.750 0.750 0.431
Ag 0.250 0.250 0.569
O 0.750 0.250 0.500
O 0.250 0.750 0.500
Te 0.750 0.750 0.850
Te 0.250 0.250 0.150
Pd 0.250 0.250 0.869
Pd 0.750 0.750 0.131